(1)
This record from the Alexandria database describes an optimized crystal structure of CoSbAsSe2. The functional is PBE.

Geometry as POSCAR:
```
CoSbAsSe2
1.0
-0.176 0.332 5.257
2.363 -4.696 0.376
4.729 2.380 0.008
Sb As Co Se
1 1 1 2
Direct
0.000 0.000 0.000
0.000 0.000 0.500
0.500 0.500 0.500
0.000 0.500 0.000
0.500 0.000 0.000
```

Computed properties:
* uncorrected formation energy: 1.17 eV/atom
* VASP energy: -3.3959 eV per atom
* energy above the most stable polymorph in this dataset: 897.3 meV/atom

---

(2)
This record from the Alexandria database describes an optimized crystal structure of Pa4SbC2. The functional is PBE.

Geometry as POSCAR:
```
Pa4SbC2
1.0
3.644 0.000 0.000
-1.822 6.384 0.000
0.000 0.000 12.411
Pa Sb C
8 2 4
Direct
0.761 0.521 0.106
0.761 0.521 0.394
0.239 0.479 0.894
0.239 0.479 0.606
0.900 0.799 0.750
0.100 0.201 0.250
0.500 0.000 0.000
0.500 0.000 0.500
0.593 0.185 0.750
0.407 0.815 0.250
0.128 0.256 0.450
0.872 0.744 0.950
0.128 0.256 0.050
0.872 0.744 0.550
```

Computed properties:
* uncorrected formation energy: -0.33 eV/atom
* VASP energy: -8.9782 eV per atom

---

(3)
This record from the Alexandria database describes an optimized crystal structure of KPmSnPb. The functional is PBE.

Geometry as POSCAR:
```
KPmSnPb
1.0
-4.635 -1.975 -2.527
-0.015 -0.885 -5.566
-0.085 -5.262 -2.017
Pb K Sn Pm
1 1 1 1
Direct
0.750 0.750 0.750
0.500 0.500 0.500
0.250 0.250 0.250
0.000 0.000 0.000
```

Computed properties:
* VASP energy: -3.5920 eV per atom
* energy relative to the elements: -0.809 eV per formula unit

---

(4)
This record from the Alexandria database describes an optimized crystal structure of LaPm2NpN4. The functional is PBE.

Geometry as POSCAR:
```
LaPm2NpN4
1.0
-0.154 -2.285 -2.685
5.843 -1.576 3.326
-5.661 -7.260 6.503
La Pm Np N
2 4 2 8
Direct
0.233 0.465 0.750
0.767 0.535 0.250
0.374 0.748 0.484
0.626 0.252 0.984
0.626 0.252 0.516
0.374 0.748 0.016
0.961 0.922 0.750
0.039 0.078 0.250
0.200 0.400 0.117
0.800 0.600 0.617
0.800 0.600 0.883
0.200 0.400 0.383
0.000 0.000 0.500
0.000 0.000 0.000
0.567 0.134 0.750
0.433 0.866 0.250
```

Computed properties:
* uncorrected formation energy: -1.10 eV/atom
* VASP energy: -8.6825 eV per atom

---

(5)
This record from the Alexandria database describes an optimized crystal structure of TiMn2GeBi. The functional is PBE.

Geometry as POSCAR:
```
TiMn2GeBi
1.0
4.610 0.000 0.000
0.000 4.768 0.000
0.000 0.000 4.610
Ge Mn Bi Ti
1 2 1 1
Direct
0.000 0.000 0.000
0.000 0.000 0.500
0.500 0.000 0.000
0.500 0.500 0.500
0.000 0.500 0.000
```

Computed properties:
* VASP energy: -6.5419 eV per atom
* energy relative to the elements: 2.023 eV per formula unit

---

(6)
This record from the Alexandria database describes an optimized crystal structure of La8Pr4Er3. The functional is PBE.

Geometry as POSCAR:
```
La8Pr4Er3
1.0
6.933 -0.108 -0.155
-3.279 8.728 1.601
-3.279 -1.528 8.741
La Pr Er
8 4 3
Direct
0.299 0.246 0.246
0.000 0.700 0.300
0.828 0.304 0.304
0.500 0.753 0.247
0.500 0.247 0.753
0.172 0.696 0.696
0.000 0.300 0.700
0.701 0.754 0.754
0.500 0.000 0.000
0.000 0.500 0.000
0.000 0.000 0.000
0.000 0.000 0.500
0.500 0.500 0.000
0.500 0.000 0.500
0.500 0.500 0.500
```

Computed properties:
* VASP energy: -4.5337 eV per atom
* energy relative to the elements: 4.220 eV per formula unit

---

(7)
This record from the Alexandria database describes an optimized crystal structure of Hf2BiS. The functional is PBE.

Geometry as POSCAR:
```
Hf2BiS
1.0
3.873 0.000 0.000
1.936 3.354 0.000
1.936 1.118 6.599
S Hf Bi
1 2 1
Direct
0.000 0.000 0.000
0.273 0.273 0.182
0.727 0.727 0.818
0.500 0.500 0.500
```

Computed properties:
* uncorrected formation energy: -0.67 eV/atom
* VASP energy: -7.6441 eV per atom
* energy above the most stable polymorph in this dataset: 4.1 meV/atom